Here is a relaxed KAl crystal from Alexandria. Energies are from PBE.

abc: 7.026 7.026 7.026
angles: 90.00 90.00 90.00
Fractional coordinates of all 8 atoms:
Al  0.000  0.500  0.500
K  0.500  0.000  0.000
Al  0.500  0.500  0.000
K  0.500  0.500  0.500
K  0.000  0.000  0.500
Al  0.000  0.000  0.000
K  0.000  0.500  0.000
Al  0.500  0.000  0.500

## Properties
Formation energy (eV per atom): 0.793
Symmetry: Fm-3m, No. 225
Energy relative to the lowest polymorph listed for this composition (meV/atom): 676